First-principles (PBE with a Hubbard U) data for SiWNO2 after structural relaxation, as listed in Alexandria via LeMat-Bulk.

Calculated values
SG: P4/mmm (123)
Total magnetic moment: 0.84 μB per cell
Uncorrected energy: -6.61 eV per atom
N(E_F): 0.1867 states/eV/atom
Theoretical density: 6.79 g/cm³

a b c (Å): 3.9345 3.9345 4.0723
angles (deg): 90.00 90.00 90.00
Element x y z (fractional)
Si (0.0000, 0.0000, 0.0000)
W (0.5000, 0.5000, 0.5000)
N (0.5000, 0.5000, 0.0000)
O (0.0000, 0.5000, 0.5000)
O (0.5000, 0.0000, 0.5000)